# 1
HfHgBi (PBE, optimized geometry); energy relative to the lowest polymorph listed for this composition = 0.0194 eV per atom; ΔE_f = 0.21 eV/f.u.; VASP energy = -4.64 eV/atom; mass density = 12.68 g cm⁻³; Fermi-level density of states = 4.5 states/eV per cell; V = 154.1 Å³ per cell
1.0
-1.884 3.791 2.529
-0.682 -3.263 4.913
3.777 2.695 3.690
Hg Hf Bi
2 2 2
Direct
0.937 0.227 0.613
0.063 0.773 0.387
0.720 0.828 0.073
0.280 0.172 0.927
0.387 0.700 0.746
0.613 0.300 0.254

# 2
SiSeCl2 (PBE, optimized geometry); energy relative to the lowest polymorph listed for this composition = 0.0118 eV per atom; raw formation energy = -6.8 kcal/mol of atoms; VASP energy = -3.45 eV/atom; mass density = 2.49 g cm⁻³; Fermi-level density of states = 0.2 states/eV per cell; V = 118.7 Å³ per cell
1.0
-1.120 -2.380 -2.956
-1.469 -2.570 2.626
-6.705 3.527 -0.299
Se Cl Si
1 2 1
Direct
0.000 0.000 0.629
0.500 0.500 0.337
0.000 0.000 0.917
0.500 0.500 0.617

What did the second record say?
SiSeCl2 (PBE, optimized geometry); energy relative to the lowest polymorph listed for this composition = 0.0118 eV per atom; raw formation energy = -6.8 kcal/mol of atoms; VASP energy = -3.45 eV/atom; mass density = 2.49 g cm⁻³; Fermi-level density of states = 0.2 states/eV per cell; V = 118.7 Å³ per cell
1.0
-1.120 -2.380 -2.956
-1.469 -2.570 2.626
-6.705 3.527 -0.299
Se Cl Si
1 2 1
Direct
0.000 0.000 0.629
0.500 0.500 0.337
0.000 0.000 0.917
0.500 0.500 0.617

Which formula does entry 2 have?
SiSeCl2